DFT (GGA+U) results for crystalline Sr2VTeO6 at its relaxed geometry.

Density = 5.493 Mg/m³
VASP energy = -0.4756 Ry/atom

Cell: 5.797 5.828 9.916 Å, 90.00 125.73 90.00°
Element x y z (fractional)
Sr: 0.242 0.029 0.250
Sr: 0.242 0.471 0.750
Sr: 0.758 0.529 0.250
Sr: 0.758 0.971 0.750
V: 0.500 0.000 0.000
V: 0.500 0.500 0.500
Te: 0.000 0.000 0.500
Te: 0.000 0.500 0.000
O: 0.192 0.213 0.964
O: 0.192 0.287 0.464
O: 0.249 0.728 0.961
O: 0.249 0.772 0.461
O: 0.338 0.014 0.767
O: 0.338 0.486 0.267
O: 0.662 0.514 0.733
O: 0.662 0.986 0.233
O: 0.751 0.228 0.539
O: 0.751 0.272 0.039
O: 0.808 0.713 0.536
O: 0.808 0.787 0.036